Entry 1:
Here is a geometry-optimized SbPCO2 structure from the Alexandria database. Energies are from PBE-GGA.

ΔE_f (raw) in meV/atom: 717
E above lowest polymorph in meV per atom: 0
Fermi-level density of states in states/eV/atom: 0.28

abc: 3.7349 3.7349 3.9706
angles: 90.00 90.00 90.00
Last column: nearest neighbours and their distance in Å.
Atoms (fractional coordinates):
O 0.5000 0.0000 0.0000  2 C 1.87
O 0.0000 0.5000 0.0000  2 C 1.87
Sb 0.5000 0.5000 0.5000  4 P 2.64, 8 O 2.73
P 0.0000 0.0000 0.5000  2 C 1.99
C 0.0000 0.0000 0.0000  4 O 1.87, 2 P 1.99

***

Entry 2:
Here is a geometry-optimized Dy2IrS structure from the Alexandria database. Energies are from PBE-GGA.

ΔE_f (raw) in meV/atom: -1203
E above lowest polymorph in meV per atom: 101
Fermi-level density of states in states/eV/atom: 0.45

abc: 3.4123 3.4123 7.0944
angles: 90.00 90.00 90.00
Last column: nearest neighbours and their distance in Å.
Atoms (fractional coordinates):
S 0.5000 0.5000 0.5000  8 Dy 3.04
Ir 0.5000 0.5000 0.0000  8 Dy 2.95
Dy 0.0000 0.0000 0.7601  4 Ir 2.95, 4 S 3.04
Dy 0.0000 0.0000 0.2399  4 Ir 2.95, 4 S 3.04

***

Entry 3:
Here is a geometry-optimized RbZr4Se8 structure from the Alexandria database. Energies are from PBE-GGA.

ΔE_f (raw) in meV/atom: -1196
E above lowest polymorph in meV per atom: 210
Fermi-level density of states in states/eV/atom: 0.32

abc: 8.2103 8.2103 8.2103
angles: 60.00 60.00 60.00
Last column: nearest neighbours and their distance in Å.
Atoms (fractional coordinates):
Zr 0.3705 0.3705 0.3705  6 Se 2.75
Zr 0.3705 0.3705 0.8886  6 Se 2.75
Zr 0.3705 0.8886 0.3705  6 Se 2.75
Zr 0.8886 0.3705 0.3705  6 Se 2.75
Rb 0.7500 0.7500 0.7500  4 Se 2.93
Se 0.5987 0.1338 0.1338  3 Zr 2.75
Se 0.6042 0.6042 0.1873  3 Zr 2.75, 1 Rb 2.93
Se 0.6042 0.6042 0.6042  3 Zr 2.75, 1 Rb 2.93
Se 0.1338 0.1338 0.1338  3 Zr 2.75
Se 0.1873 0.6042 0.6042  3 Zr 2.75, 1 Rb 2.93
Se 0.6042 0.1873 0.6042  3 Zr 2.75, 1 Rb 2.93
Se 0.1338 0.1338 0.5987  3 Zr 2.75
Se 0.1338 0.5987 0.1338  3 Zr 2.75

***

Entry 4:
Here is a geometry-optimized Pm5Al6 structure from the Alexandria database. Energies are from PBE-GGA.

Fermi-level density of states in states/eV/atom: 0.68
Formation enthalpy at 0 K in eV/atom: -0.20

abc: 5.1371 7.2235 8.1714
angles: 90.00 71.68 90.00
Last column: nearest neighbours and their distance in Å.
Atoms (fractional coordinates):
Pm 0.3332 0.0000 0.3337  8 Al 3.04-3.25
Pm 0.6680 0.5000 0.6640  8 Al 3.24-3.40, 4 Pm 3.61-3.62
Pm 0.6668 0.0000 0.6663  8 Al 3.04-3.25
Pm 0.0000 0.5000 0.0000  8 Al 3.08-3.26
Pm 0.3320 0.5000 0.3360  8 Al 3.24-3.40, 4 Pm 3.61-3.62
Al 0.1529 0.7720 0.6942  7 Pm 3.06-3.40, 1 Al 3.29
Al 0.5000 0.7780 0.0000  6 Pm 3.04-3.29, 1 Al 3.21
Al 0.8471 0.7720 0.3058  7 Pm 3.06-3.40, 1 Al 3.29
Al 0.8471 0.2280 0.3058  7 Pm 3.06-3.40, 1 Al 3.29
Al 0.5000 0.2220 0.0000  6 Pm 3.04-3.29, 1 Al 3.21
Al 0.1529 0.2280 0.6942  7 Pm 3.06-3.40, 1 Al 3.29

***

Entry 5:
Here is a geometry-optimized Pm2NdTl2Hg2 structure from the Alexandria database. Energies are from PBE-GGA.

Fermi-level density of states in states/eV/atom: 0.56
Formation enthalpy at 0 K in eV/atom: -0.23

abc: 5.0427 5.0427 9.5639
angles: 74.71 74.71 60.00
Last column: nearest neighbours and their distance in Å.
Atoms (fractional coordinates):
Nd 0.0000 0.0000 0.0000  6 Tl 3.35, 2 Pm 3.66
Pm 0.1338 0.1338 0.5986  3 Hg 3.06, 3 Pm 3.42
Pm 0.8662 0.8662 0.4014  3 Hg 3.06, 3 Pm 3.42
Tl 0.2727 0.2727 0.1818  3 Hg 3.10, 3 Nd 3.35
Tl 0.7273 0.7273 0.8182  3 Hg 3.10, 3 Nd 3.35
Hg 0.4324 0.4324 0.7028  3 Pm 3.06, 3 Tl 3.10
Hg 0.5676 0.5676 0.2972  3 Pm 3.06, 3 Tl 3.10

***

Entry 6:
Here is a geometry-optimized MnCoSb structure from the Alexandria database. Energies are from PBE-GGA.

ΔE_f (raw) in meV/atom: 175
Fermi-level density of states in states/eV/atom: 1.61

abc: 3.3808 3.3808 4.6888
angles: 111.13 111.13 90.00
Last column: nearest neighbours and their distance in Å.
Atoms (fractional coordinates):
Mn 0.6106 0.6106 0.2211  5 Sb 2.63-2.77, 5 Co 2.70-2.78
Sb 0.2845 0.2845 0.5690  5 Mn 2.63-2.77, 5 Co 2.66-2.76
Co 0.9549 0.9549 0.9099  5 Sb 2.66-2.76, 5 Mn 2.70-2.78

***

Entry 7:
Here is a geometry-optimized Cs2RbBiSb2 structure from the Alexandria database. Energies are from PBE-GGA.

ΔE_f (raw) in meV/atom: -369

abc: 7.9687 8.7562 10.5088
angles: 114.62 112.28 90.00
Last column: nearest neighbours and their distance in Å.
Atoms (fractional coordinates):
Sb 0.0985 0.7997 0.1971  2 Bi 3.16
Sb 0.5985 0.3974 0.1971  2 Bi 3.16
Sb 0.9015 0.2003 0.8029  2 Bi 3.16
Sb 0.4015 0.6026 0.8029  2 Bi 3.16
Cs 0.3218 0.1090 0.6436  4 Sb 3.88-4.22, 2 Bi 4.13
Cs 0.1782 0.4654 0.3564  4 Sb 3.88-4.22, 2 Bi 4.13
Cs 0.6782 0.8910 0.3564  4 Sb 3.88-4.22, 2 Bi 4.13
Cs 0.8218 0.5346 0.6436  4 Sb 3.88-4.22, 2 Bi 4.13
Rb 0.2500 0.0000 0.0000  4 Sb 3.71, 2 Rb 3.98
Rb 0.7500 0.0000 0.0000  4 Sb 3.71, 2 Rb 3.98
Bi 0.7500 0.5000 0.0000  4 Sb 3.16
Bi 0.2500 0.5000 0.0000  4 Sb 3.16

***

Entry 8:
Here is a geometry-optimized TlReAu2 structure from the Alexandria database. Energies are from PBE-GGA.

E above lowest polymorph in meV per atom: 409
Fermi-level density of states in states/eV/atom: 0.87
Formation enthalpy at 0 K in eV/atom: 0.93

abc: 3.9792 3.9792 10.5763
angles: 79.16 79.16 90.00
Last column: nearest neighbours and their distance in Å.
Atoms (fractional coordinates):
Au 0.6138 0.1250 0.2500  4 Au 2.75-2.88, 2 Re 2.90, 2 Tl 2.93
Au 0.1362 0.6250 0.2500  4 Au 2.75-2.88, 2 Re 2.90, 2 Tl 2.93
Au 0.3750 0.3862 0.7500  4 Au 2.75-2.88, 2 Re 2.90, 2 Tl 2.93
Au 0.8750 0.8638 0.7500  4 Au 2.75-2.88, 2 Re 2.90, 2 Tl 2.93
Tl 0.0000 0.0000 0.0000  4 Re 2.81, 4 Au 2.93
Tl 0.7500 0.2500 0.5000  4 Re 2.81, 4 Au 2.93
Re 0.2500 0.7500 0.5000  4 Tl 2.81, 4 Au 2.90
Re 0.5000 0.5000 0.0000  4 Tl 2.81, 4 Au 2.90

***

Entry 9:
Here is a geometry-optimized Pm3Ge3Pt structure from the Alexandria database. Energies are from PBE-GGA.

E above lowest polymorph in meV per atom: 0
Fermi-level density of states in states/eV/atom: 0.78
Formation enthalpy at 0 K in eV/atom: -0.91

abc: 4.1821 4.2949 9.7910
angles: 102.67 102.33 90.00
Last column: nearest neighbours and their distance in Å.
Atoms (fractional coordinates):
Pm 0.6831 0.1831 0.3662  7 Ge 3.06-3.14
Pm 0.9989 0.9989 0.9979  8 Ge 3.23-3.56, 4 Pt 3.24
Pm 0.3185 0.8185 0.6370  2 Pt 3.03, 5 Ge 3.06-3.12
Pt 0.4330 0.4330 0.8660  3 Ge 2.43-2.58
Ge 0.5635 0.5635 0.1271  1 Pt 2.43, 2 Ge 2.65
Ge 0.8518 0.3518 0.7035  2 Pt 2.58
Ge 0.1511 0.6511 0.3022  2 Ge 2.65

***

Entry 10:
Here is a geometry-optimized Rb2TcRhBr6 structure from the Alexandria database. Energies are from PBE-GGA.

ΔE_f (raw) in meV/atom: -717
Fermi-level density of states in states/eV/atom: 0.29

abc: 7.4958 7.4958 7.4851
angles: 59.95 59.95 90.00
Last column: nearest neighbours and their distance in Å.
Atoms (fractional coordinates):
Rb 0.7500 0.2500 0.5000  12 Br 3.74-3.75
Rb 0.2500 0.7500 0.5000  12 Br 3.74-3.75
Tc 0.5000 0.5000 0.0000  6 Br 2.65
Br 0.7502 0.7502 0.0000  1 Rh 2.65, 1 Tc 2.65
Br 0.2498 0.7502 0.0000  1 Rh 2.65, 1 Tc 2.65
Br 0.2498 0.2498 0.0000  1 Rh 2.65, 1 Tc 2.65
Br 0.7502 0.2498 0.0000  1 Rh 2.65, 1 Tc 2.65
Br 0.2492 0.2492 0.5016  1 Rh 2.63, 1 Tc 2.65
Br 0.7508 0.7508 0.4984  1 Rh 2.63, 1 Tc 2.65
Rh 0.0000 0.0000 0.0000  6 Br 2.63-2.65

***

Entry 11:
Here is a geometry-optimized Mg2PaAu3 structure from the Alexandria database. Energies are from PBE-GGA.

Fermi-level density of states in states/eV/atom: 0.97
Formation enthalpy at 0 K in eV/atom: -0.50

abc: 3.2929 3.2929 10.8547
angles: 90.00 90.00 90.00
Last column: nearest neighbours and their distance in Å.
Atoms (fractional coordinates):
Mg 0.5000 0.5000 0.8470  8 Au 2.86-2.88
Mg 0.5000 0.5000 0.1530  8 Au 2.86-2.88
Au 0.0000 0.0000 0.0000  8 Mg 2.86
Au 0.0000 0.0000 0.6914  4 Mg 2.88, 4 Pa 3.12
Au 0.0000 0.0000 0.3086  4 Mg 2.88, 4 Pa 3.12
Pa 0.5000 0.5000 0.5000  8 Au 3.12, 4 Pa 3.29

***

Entry 12:
Here is a geometry-optimized YRe3Rh structure from the Alexandria database. Energies are from PBE-GGA.

E above lowest polymorph in meV per atom: 0
Fermi-level density of states in states/eV/atom: 1.39
Formation enthalpy at 0 K in eV/atom: 1.56

abc: 4.7304 4.7304 4.7304
angles: 90.00 90.00 90.00
Last column: nearest neighbours and their distance in Å.
Atoms (fractional coordinates):
Re 0.0000 0.0000 0.5000  2 Rh 2.37
Re 0.5000 0.0000 0.0000  2 Rh 2.37
Re 0.0000 0.5000 0.0000  2 Rh 2.37
Y 0.5000 0.5000 0.5000  12 Re 3.34
Rh 0.0000 0.0000 0.0000  6 Re 2.37